Run one
First-principles (GGA-PBE) data for a geometry-optimized ErHfCS structure, as listed in OQMD.

## Properties
The space group is P-6m2 (187). For the density, the calculation gives 9.819 Mg/m³. For the spin magnetization, the calculation gives 0.00 μB per atom.

```
8
Lattice="3.4967 0.0000 0.0000 -1.7484 3.0282 0.0000 0.0000 0.0000 12.4519" Properties=species:S:1:pos:R:3 pbc="T T T"
Er 0.0000 0.0000 1.8801
Er 0.0000 0.0000 10.5718
Hf 1.7484 1.0094 4.4330
Hf 1.7484 1.0094 8.0189
C 0.0000 2.0188 3.3310
C 0.0000 2.0188 9.1209
S 0.0000 0.0000 6.2259
S 1.7484 1.0094 0.0000
```

=====

Run two
First-principles (GGA-PBE) data for a geometry-optimized ErHfCS structure, as listed in OQMD.

## Properties
The space group is P-3m1 (164). For the density, the calculation gives 9.760 Mg/m³. For the spin magnetization, the calculation gives 0.00 μB per atom.

```
8
Lattice="3.5070 0.0000 0.0000 -1.7535 3.0372 0.0000 0.0000 0.0000 12.4533" Properties=species:S:1:pos:R:3 pbc="T T T"
Er 0.0000 2.0248 1.3307
Er 1.7535 1.0124 11.1225
Hf 0.0000 2.0248 5.0440
Hf 1.7535 1.0124 7.4092
C 0.0000 0.0000 0.0000
C 0.0000 0.0000 6.2266
S 0.0000 2.0248 9.1407
S 1.7535 1.0124 3.3126
```

=====

Least stable of them? run two.

=====

Run one
First-principles (GGA-PBE) data for a geometry-optimized ErHfTlC structure, as listed in OQMD.

## Properties
The space group is P-3m1 (164). For the density, the calculation gives 11.688 Mg/m³. For the spin magnetization, the calculation gives 0.00 μB per atom.

```
8
Lattice="3.4465 0.0000 0.0000 -1.7233 2.9848 0.0000 0.0000 0.0000 15.5269" Properties=species:S:1:pos:R:3 pbc="T T T"
Er 0.0000 1.9899 6.4109
Er 1.7233 0.9949 9.1160
Hf 0.0000 1.9899 1.1885
Hf 1.7233 0.9949 14.3384
Tl 0.0000 1.9899 11.8058
Tl 1.7233 0.9949 3.7211
C 0.0000 0.0000 0.0000
C 0.0000 0.0000 7.7634
```

=====

Run two
First-principles (GGA-PBE) data for a geometry-optimized ErHfTlC structure, as listed in OQMD.

## Properties
The space group is P-6m2 (187). For the density, the calculation gives 11.766 Mg/m³. For the spin magnetization, the calculation gives 0.00 μB per atom.

```
8
Lattice="3.4368 0.0000 0.0000 -1.7184 2.9763 0.0000 0.0000 0.0000 15.5121" Properties=species:S:1:pos:R:3 pbc="T T T"
Er 0.0000 0.0000 2.6831
Er 0.0000 0.0000 12.8290
Hf 1.7184 0.9921 5.2525
Hf 1.7184 0.9921 10.2596
Tl 0.0000 0.0000 7.7560
Tl 1.7184 0.9921 0.0000
C 0.0000 1.9842 4.1556
C 0.0000 1.9842 11.3565
```

=====

Least stable of them? run one.

=====

Run one
First-principles (GGA-PBE) data for a geometry-optimized Pr2Er2CI5 structure, as listed in OQMD.

## Properties
The space group is C2/m (12). For the density, the calculation gives 6.489 Mg/m³. For the spin magnetization, the calculation gives 0.00 μB per atom.

```
10
Lattice="9.4949 -1.9992 0.0000 9.4949 1.9992 0.0000 -1.9805 0.0000 8.5120" Properties=species:S:1:pos:R:3 pbc="T T T"
Pr 2.4748 0.0000 0.5871
Pr 14.5345 0.0000 7.9249
Er 9.1182 0.0000 1.5747
Er 7.8912 0.0000 6.9373
C 0.0000 0.0000 0.0000
I -0.9903 0.0000 4.2560
I 5.9725 0.0000 1.6626
I 5.1709 0.0000 5.4903
I 11.8384 0.0000 3.0218
I 11.0368 0.0000 6.8494
```

=====

Run two
First-principles (GGA-PBE) data for a geometry-optimized Pr2Er2CI5 structure, as listed in OQMD.

## Properties
The space group is C2/m (12). For the density, the calculation gives 6.126 Mg/m³. For the spin magnetization, the calculation gives 0.03 μB per atom.

```
10
Lattice="9.7364 -2.0225 0.0000 9.7364 2.0225 0.0000 -1.9284 0.0000 8.6915" Properties=species:S:1:pos:R:3 pbc="T T T"
Pr -0.5669 0.0000 2.6395
Pr 18.1113 0.0000 6.0520
Er 6.4466 0.0000 3.8066
Er 11.0978 0.0000 4.8849
C 8.7722 0.0000 4.3458
I 1.6671 0.0000 7.1538
I 2.6601 0.0000 2.9722
I 9.7364 0.0000 0.0000
I 14.8844 0.0000 5.7194
I 15.8774 0.0000 1.5378
```

=====

Least stable of them? run one.

=====

Run one
First-principles (GGA-PBE) data for a geometry-optimized ErNbCS structure, as listed in OQMD.

## Properties
The space group is P-3m1 (164). For the density, the calculation gives 7.893 Mg/m³. For the spin magnetization, the calculation gives 0.00 μB per atom.

```
8
Lattice="3.4869 0.0000 0.0000 -1.7434 3.0197 0.0000 0.0000 0.0000 12.1579" Properties=species:S:1:pos:R:3 pbc="T T T"
Er 0.0000 2.0132 4.7420
Er 1.7434 1.0066 7.4159
Nb 0.0000 2.0132 1.0355
Nb 1.7434 1.0066 11.1224
C 0.0000 0.0000 0.0000
C 0.0000 0.0000 6.0790
S 0.0000 2.0132 9.3861
S 1.7434 1.0066 2.7718
```

=====

Run two
First-principles (GGA-PBE) data for a geometry-optimized ErNbCS structure, as listed in OQMD.

## Properties
The space group is P-6m2 (187). For the density, the calculation gives 8.120 Mg/m³. For the spin magnetization, the calculation gives 0.00 μB per atom.

```
8
Lattice="3.4190 0.0000 0.0000 -1.7095 2.9609 0.0000 0.0000 0.0000 12.2917" Properties=species:S:1:pos:R:3 pbc="T T T"
Er 0.0000 0.0000 1.9075
Er 0.0000 0.0000 10.3842
Nb 0.0000 1.9739 4.4333
Nb 0.0000 1.9739 7.8583
C 1.7095 0.9870 3.3031
C 1.7095 0.9870 8.9886
S 0.0000 0.0000 6.1458
S 0.0000 1.9739 0.0000
```

=====

Least stable of them? run one.

=====

Run one
First-principles (GGA-PBE) data for a geometry-optimized ErNbTeC structure, as listed in OQMD.

## Properties
The space group is P-6m2 (187). For the density, the calculation gives 9.040 Mg/m³. For the spin magnetization, the calculation gives 0.00 μB per atom.

```
8
Lattice="3.5340 0.0000 0.0000 -1.7670 3.0605 0.0000 0.0000 0.0000 13.5785" Properties=species:S:1:pos:R:3 pbc="T T T"
Er 0.0000 0.0000 2.3183
Er 0.0000 0.0000 11.2602
Nb 0.0000 2.0404 4.7105
Nb 0.0000 2.0404 8.8681
Te 0.0000 0.0000 6.7893
Te 0.0000 2.0404 0.0000
C 1.7670 1.0202 3.6672
C 1.7670 1.0202 9.9114
```

=====

Run two
First-principles (GGA-PBE) data for a geometry-optimized ErNbTeC structure, as listed in OQMD.

## Properties
The space group is P-3m1 (164). For the density, the calculation gives 8.872 Mg/m³. For the spin magnetization, the calculation gives 0.00 μB per atom.

```
8
Lattice="3.5875 0.0000 0.0000 -1.7937 3.1068 0.0000 0.0000 0.0000 13.4265" Properties=species:S:1:pos:R:3 pbc="T T T"
Er 0.0000 2.0712 5.4046
Er 1.7937 1.0356 8.0219
Nb 0.0000 2.0712 1.0052
Nb 1.7937 1.0356 12.4213
Te 0.0000 2.0712 10.3706
Te 1.7937 1.0356 3.0559
C 0.0000 0.0000 0.0000
C 0.0000 0.0000 6.7133
```

=====

Least stable of them? run one.

=====

Run one
First-principles (GGA-PBE) data for a geometry-optimized ErSnPtC structure, as listed in OQMD.

## Properties
The space group is P6_3mc (186). For the density, the calculation gives 10.034 Mg/m³. For the spin magnetization, the calculation gives 0.00 μB per atom.

```
8
Lattice="4.0812 0.0000 0.0000 -2.0406 3.5344 0.0000 0.0000 0.0000 11.3140" Properties=species:S:1:pos:R:3 pbc="T T T"
Er 0.0000 2.3563 0.0000
Er 2.0406 1.1781 5.6570
Sn 0.0000 0.0000 3.3967
Sn 0.0000 0.0000 9.0537
Pt 0.0000 2.3563 7.8243
Pt 2.0406 1.1781 2.1673
C 0.0000 2.3563 5.8835
C 2.0406 1.1781 0.2266
```

=====

Run two
First-principles (GGA-PBE) data for a geometry-optimized ErSnPtC structure, as listed in OQMD.

## Properties
The space group is P-3m1 (164). For the density, the calculation gives 11.625 Mg/m³. For the spin magnetization, the calculation gives 0.00 μB per atom.

```
8
Lattice="4.5454 0.0000 0.0000 -2.2727 3.9364 0.0000 0.0000 0.0000 7.8726" Properties=species:S:1:pos:R:3 pbc="T T T"
Er 0.0000 2.6243 1.4519
Er 2.2727 1.3121 6.4207
Sn 0.0000 0.0000 0.0000
Sn 0.0000 0.0000 3.9363
Pt 0.0000 2.6243 4.8502
Pt 2.2727 1.3121 3.0223
C 0.0000 2.6243 6.8900
C 2.2727 1.3121 0.9825
```

=====

Least stable of them? run two.

=====

Run one
First-principles (GGA-PBE) data for a geometry-optimized ErZrCS structure, as listed in OQMD.

## Properties
The space group is P-6m2 (187). For the density, the calculation gives 7.452 Mg/m³. For the spin magnetization, the calculation gives 0.00 μB per atom.

```
8
Lattice="3.5234 0.0000 0.0000 -1.7617 3.0513 0.0000 0.0000 0.0000 12.5420" Properties=species:S:1:pos:R:3 pbc="T T T"
Er 0.0000 0.0000 1.8781
Er 0.0000 0.0000 10.6639
Zr 0.0000 2.0342 4.4610
Zr 0.0000 2.0342 8.0809
C 1.7617 1.0171 3.2935
C 1.7617 1.0171 9.2484
S 0.0000 0.0000 6.2710
S 0.0000 2.0342 0.0000
```

=====

Run two
First-principles (GGA-PBE) data for a geometry-optimized ErZrCS structure, as listed in OQMD.

## Properties
The space group is P6_3mc (186). For the density, the calculation gives 7.458 Mg/m³. For the spin magnetization, the calculation gives 0.00 μB per atom.

```
8
Lattice="3.5211 0.0000 0.0000 -1.7606 3.0494 0.0000 0.0000 0.0000 12.5483" Properties=species:S:1:pos:R:3 pbc="T T T"
Er 0.0000 2.0329 0.0000
Er 1.7606 1.0165 6.2742
Zr 0.0000 2.0329 8.8524
Zr 1.7606 1.0165 2.5782
C 0.0000 0.0000 1.3933
C 0.0000 0.0000 7.6675
S 0.0000 2.0329 4.3574
S 1.7606 1.0165 10.6316
```

=====

Least stable of them? run one.

=====

Run one
First-principles (GGA-PBE) data for a geometry-optimized ErZrCSe structure, as listed in OQMD.

## Properties
The space group is P6_3mc (186). For the density, the calculation gives 8.101 Mg/m³. For the spin magnetization, the calculation gives 0.00 μB per atom.

```
8
Lattice="3.5715 0.0000 0.0000 -1.7858 3.0930 0.0000 0.0000 0.0000 12.9687" Properties=species:S:1:pos:R:3 pbc="T T T"
Er 0.0000 2.0620 0.0000
Er 1.7858 1.0310 6.4843
Zr 0.0000 2.0620 9.0296
Zr 1.7858 1.0310 2.5453
C 0.0000 0.0000 1.3798
C 0.0000 0.0000 7.8641
Se 0.0000 2.0620 4.4438
Se 1.7858 1.0310 10.9281
```

=====

Run two
First-principles (GGA-PBE) data for a geometry-optimized ErZrCSe structure, as listed in OQMD.

## Properties
The space group is P-6m2 (187). For the density, the calculation gives 8.091 Mg/m³. For the spin magnetization, the calculation gives 0.00 μB per atom.

```
8
Lattice="3.5760 0.0000 0.0000 -1.7880 3.0969 0.0000 0.0000 0.0000 12.9521" Properties=species:S:1:pos:R:3 pbc="T T T"
Er 0.0000 0.0000 1.9899
Er 0.0000 0.0000 10.9622
Zr 1.7880 1.0323 4.5412
Zr 1.7880 1.0323 8.4109
C 0.0000 2.0646 3.3986
C 0.0000 2.0646 9.5534
Se 0.0000 0.0000 6.4760
Se 1.7880 1.0323 0.0000
```

=====

Least stable of them? run two.

=====

Run one
First-principles (GGA-PBE) data for a geometry-optimized ErZrSnC structure, as listed in OQMD.

## Properties
The space group is P6_3mc (186). For the density, the calculation gives 8.181 Mg/m³. For the spin magnetization, the calculation gives 0.00 μB per atom.

```
8
Lattice="3.4631 0.0000 0.0000 -1.7315 2.9991 0.0000 0.0000 0.0000 15.2118" Properties=species:S:1:pos:R:3 pbc="T T T"
Er 0.0000 1.9994 0.0000
Er 1.7315 0.9997 7.6059
Zr 0.0000 1.9994 10.1918
Zr 1.7315 0.9997 2.5859
Sn 0.0000 1.9994 5.0078
Sn 1.7315 0.9997 12.6137
C 0.0000 0.0000 1.4053
C 0.0000 0.0000 9.0112
```

=====

Run two
First-principles (GGA-PBE) data for a geometry-optimized ErZrSnC structure, as listed in OQMD.

## Properties
The space group is P-3m1 (164). For the density, the calculation gives 8.125 Mg/m³. For the spin magnetization, the calculation gives 0.00 μB per atom.

```
8
Lattice="3.4781 0.0000 0.0000 -1.7390 3.0121 0.0000 0.0000 0.0000 15.1846" Properties=species:S:1:pos:R:3 pbc="T T T"
Er 0.0000 2.0081 6.2596
Er 1.7390 1.0040 8.9250
Zr 0.0000 2.0081 1.2291
Zr 1.7390 1.0040 13.9555
Sn 0.0000 2.0081 11.5491
Sn 1.7390 1.0040 3.6355
C 0.0000 0.0000 0.0000
C 0.0000 0.0000 7.5923
```

=====

Least stable of them? run two.

=====

Run one
First-principles (GGA-PBE) data for a geometry-optimized Fe7C3 structure, as listed in OQMD.

## Properties
The space group is Pnma (62). For the density, the calculation gives 7.831 Mg/m³. For the spin magnetization, the calculation gives 1.19 μB per atom.

```
40
Lattice="4.5122 0.0000 0.0000 0.0000 6.8474 0.0000 0.0000 0.0000 11.7211" Properties=species:S:1:pos:R:3 pbc="T T T"
Fe 0.2783 0.4349 2.2478
Fe 0.2783 2.9888 2.2478
Fe 0.3631 1.7119 4.3651
Fe 0.9295 5.1356 3.5326
Fe 1.0227 5.1356 1.0283
Fe 1.1218 3.8788 5.6804
Fe 1.1218 6.3923 5.6804
Fe 1.1343 0.4551 11.5410
Fe 1.1343 2.9686 11.5410
Fe 1.2334 1.7119 6.8889
Fe 1.3266 1.7119 9.3931
Fe 1.8929 5.1356 10.2256
Fe 1.9778 3.8586 8.1083
Fe 1.9778 6.4125 8.1083
Fe 2.5344 0.4349 3.6127
Fe 2.5344 2.9888 3.6127
Fe 2.6192 1.7119 1.4955
Fe 3.1856 5.1356 2.3279
Fe 3.2788 5.1356 4.8322
Fe 3.3779 3.8788 0.1801
Fe 3.3779 6.3923 0.1801
Fe 3.3903 0.4551 6.0406
Fe 3.3903 2.9686 6.0406
Fe 3.4895 1.7119 10.6927
Fe 3.5826 1.7119 8.1884
Fe 4.1490 5.1356 7.3560
Fe 4.2339 3.8586 9.4732
Fe 4.2339 6.4125 9.4732
C 0.1383 5.1356 10.9934
C 0.1855 0.1793 7.5825
C 0.1855 3.2444 7.5825
C 2.0705 3.6031 1.7220
C 2.0705 6.6681 1.7220
C 2.1178 1.7119 5.1329
C 2.3943 5.1356 6.5882
C 2.4416 0.1793 9.9990
C 2.4416 3.2444 9.9990
C 4.3266 3.6031 4.1385
C 4.3266 6.6681 4.1385
C 4.3739 1.7119 0.7277
```

=====

Run two
First-principles (GGA-PBE) data for a geometry-optimized Fe7C3 structure, as listed in OQMD.

## Properties
The space group is C2/m (12). For the density, the calculation gives 7.750 Mg/m³. For the spin magnetization, the calculation gives 1.07 μB per atom.

```
10
Lattice="4.1581 -1.3205 0.0000 4.1581 1.3205 0.0000 -2.2266 0.0000 8.3300" Properties=species:S:1:pos:R:3 pbc="T T T"
Fe 0.0000 0.0000 0.0000
Fe -0.0691 0.0000 2.4408
Fe 0.0668 0.0000 4.8881
Fe 2.2402 0.0000 1.1782
Fe 3.8495 0.0000 7.1518
Fe 6.0228 0.0000 3.4419
Fe 6.1588 0.0000 5.8891
C 1.1591 0.0000 6.9935
C 3.0448 0.0000 4.1650
C 4.9305 0.0000 1.3365
```

=====

Run three
First-principles (GGA-PBE) data for a geometry-optimized Fe7C3 structure, as listed in OQMD.

## Properties
The space group is P6_3mc (186). For the density, the calculation gives 7.852 Mg/m³. For the spin magnetization, the calculation gives 1.16 μB per atom.

```
20
Lattice="6.8148 0.0000 0.0000 -3.4074 5.9018 0.0000 0.0000 0.0000 4.4894" Properties=species:S:1:pos:R:3 pbc="T T T"
Fe -1.2382 3.2197 0.0000
Fe 0.0000 1.4460 3.0261
Fe -2.1552 5.1788 3.0261
Fe 1.2523 0.7230 0.7814
Fe 0.0000 3.9345 2.2182
Fe 1.2382 3.2197 0.0000
Fe 0.0000 5.3643 0.0000
Fe 3.4074 0.5375 2.2447
Fe 2.1692 2.6821 2.2447
Fe 3.4074 1.9673 4.4629
Fe 2.1552 5.1788 3.0261
Fe 5.5626 0.7230 0.7814
Fe 3.4074 4.4558 0.7814
Fe 4.6456 2.6821 2.2447
C 0.0000 2.2028 1.2568
C -1.4997 4.8004 1.2568
C 1.9077 1.1014 3.5015
C 1.4997 4.8004 1.2568
C 4.9071 1.1014 3.5015
C 3.4074 3.6990 3.5015
```

=====

Least stable of them? run two.